1.
VASP calculation (PBE-GGA) on a relaxed structure of YScTl2S4.

a = 6.7976 Å, b = 3.9264 Å, c = 7.8326 Å
α = 90.00°, β = 106.77°, γ = 90.00°
Last column: nearest neighbours and their distance in Å.
Positions (direct):
1 Y 0.0000 0.0000 0.0000  6 S 2.74-2.75
2 Sc 0.5000 0.5000 0.0000  6 S 2.63-2.65
3 Tl 0.0000 0.5000 0.5000  6 S 3.27
4 Tl 0.5000 0.0000 0.5000  6 S 3.19
5 S 0.2441 0.5000 0.1959  1 Sc 2.63, 2 Y 2.74
6 S 0.2814 0.0000 0.8092  2 Sc 2.65, 1 Y 2.75
7 S 0.7186 0.0000 0.1908  2 Sc 2.65, 1 Y 2.75
8 S 0.7559 0.5000 0.8041  1 Sc 2.63, 2 Y 2.74

Calculated values
ΔE_f (raw) ... -1.421 eV/atom

2.
VASP calculation (PBE-GGA) on a relaxed structure of Th2Be3Cu17.

a = 6.7646 Å, b = 6.7646 Å, c = 6.7646 Å
α = 84.66°, β = 84.66°, γ = 84.66°
Last column: nearest neighbours and their distance in Å.
Positions (direct):
1 Th 0.1643 0.1643 0.1643  3 Be 2.63
2 Th 0.8357 0.8357 0.8357  3 Be 2.63
3 Be 0.0000 0.0000 0.5000  4 Cu 2.09-2.12
4 Be 0.0000 0.5000 0.0000  4 Cu 2.09-2.12
5 Be 0.5000 0.0000 0.0000  4 Cu 2.09-2.12
6 Cu 0.0000 0.5000 0.5000  10 Cu 2.51-2.78
7 Cu 0.1661 0.1661 0.6669  1 Be 2.12
8 Cu 0.1661 0.6669 0.1661  1 Be 2.12
9 Cu 0.2298 0.5000 0.7702  1 Be 2.09
10 Cu 0.2298 0.7702 0.5000  1 Be 2.09
11 Cu 0.3331 0.8339 0.8339  1 Be 2.12
12 Cu 0.4029 0.4029 0.4029  7 Cu 2.48-2.76
13 Cu 0.5000 0.0000 0.5000  10 Cu 2.51-2.78
14 Cu 0.5000 0.2298 0.7702  1 Be 2.09
15 Cu 0.5000 0.5000 0.0000  10 Cu 2.51-2.78
16 Cu 0.5000 0.7702 0.2298  1 Be 2.09
17 Cu 0.5971 0.5971 0.5971  7 Cu 2.48-2.76
18 Cu 0.6669 0.1661 0.1661  1 Be 2.12
19 Cu 0.7702 0.2298 0.5000  1 Be 2.09
20 Cu 0.7702 0.5000 0.2298  1 Be 2.09
21 Cu 0.8339 0.3331 0.8339  1 Be 2.12
22 Cu 0.8339 0.8339 0.3331  1 Be 2.12

Calculated values
Energy ... -4.215 eV per atom

3.
VASP calculation (PBE-GGA) on a relaxed structure of BaSr2Mg.

a = 7.6683 Å, b = 7.6683 Å, c = 4.0509 Å
α = 102.32°, β = 102.32°, γ = 118.22°
Last column: nearest neighbours and their distance in Å.
Positions (direct):
1 Ba 0.0000 0.0000 0.0000  4 Sr 3.94, 4 Mg 3.94-4.32, 2 Ba 4.05
2 Sr 0.0000 0.5000 0.5000  2 Mg 3.94, 2 Ba 3.94, 6 Sr 3.94-4.32
3 Sr 0.5000 0.0000 0.5000  2 Mg 3.94, 2 Ba 3.94, 6 Sr 3.94-4.32
4 Mg 0.5000 0.5000 0.0000  4 Sr 3.94, 4 Ba 3.94-4.32, 2 Mg 4.05

Calculated values
Energy ... -1.629 eV per atom

4.
VASP calculation (PBE-GGA) on a relaxed structure of LaScNi2.

a = 5.3362 Å, b = 5.3362 Å, c = 4.6857 Å
α = 101.71°, β = 101.71°, γ = 35.47°
Last column: nearest neighbours and their distance in Å.
Positions (direct):
1 La 0.0000 0.0000 0.0000  5 Ni 2.72-2.90
2 Sc 0.2135 0.2135 0.6191  5 Ni 2.68-2.99
3 Ni 0.4613 0.4613 0.4766  2 Ni 2.66, 1 Sc 2.74, 4 La 2.86-2.90
4 Ni 0.7684 0.7684 0.2045  2 Ni 2.66, 2 Sc 2.68, 1 La 2.72

Calculated values
Offset from the most stable computed form ... 195.1 meV/atom

5.
VASP calculation (PBE-GGA) on a relaxed structure of CoTcRu2.

a = 2.6800 Å, b = 2.6800 Å, c = 7.4074 Å
α = 90.00°, β = 90.00°, γ = 90.00°
Last column: nearest neighbours and their distance in Å.
Positions (direct):
1 Co 0.0000 0.0000 0.0000  8 Ru 2.59, 4 Co 2.68
2 Tc 0.0000 0.0000 0.5000  4 Tc 2.68, 8 Ru 2.71
3 Ru 0.5000 0.5000 0.2380  4 Co 2.59, 4 Ru 2.68, 4 Tc 2.71
4 Ru 0.5000 0.5000 0.7620  4 Co 2.59, 4 Ru 2.68, 4 Tc 2.71

Calculated values
Offset from the most stable computed form ... 36.9 meV/atom

6.
VASP calculation (PBE-GGA) on a relaxed structure of AcPrSI.

a = 4.1629 Å, b = 4.1629 Å, c = 8.6944 Å
α = 103.93°, β = 103.93°, γ = 59.82°
Last column: nearest neighbours and their distance in Å.
Positions (direct):
1 Ac 0.0000 0.0000 0.0000  3 S 2.98
2 Pr 0.7980 0.7980 0.3969  3 S 2.86
3 S 0.4035 0.4035 0.2116  3 Pr 2.86, 3 Ac 2.98
4 I 0.2262 0.2262 0.6801  3 Pr 3.37, 3 Ac 3.59

Calculated values
ΔE_f (raw) ... -1.440 eV/atom

7.
VASP calculation (PBE-GGA) on a relaxed structure of ZrCu3Ge.

a = 4.8750 Å, b = 4.8750 Å, c = 4.8750 Å
α = 90.00°, β = 90.00°, γ = 90.00°
Last column: nearest neighbours and their distance in Å.
Positions (direct):
1 Zr 0.0000 0.0000 0.0000  6 Cu 2.44
2 Cu 0.0000 0.0000 0.5000  2 Zr 2.44
3 Cu 0.0000 0.5000 0.0000  2 Zr 2.44
4 Cu 0.5000 0.0000 0.0000  2 Zr 2.44
5 Ge 0.5000 0.5000 0.5000  12 Cu 3.45

Calculated values
Offset from the most stable computed form ... 965.1 meV/atom

8.
VASP calculation (PBE-GGA) on a relaxed structure of Zr2PtRh3.

a = 8.6028 Å, b = 8.6028 Å, c = 8.6028 Å
α = 120.70°, β = 120.70°, γ = 88.80°
Last column: nearest neighbours and their distance in Å.
Positions (direct):
1 Zr 0.2733 0.7250 0.5483  2 Pt 2.68-2.81, 7 Rh 2.70-2.80
2 Zr 0.2750 0.3233 0.5483  2 Pt 2.68-2.81, 7 Rh 2.70-2.80
3 Zr 0.2750 0.7267 0.9517  2 Pt 2.68-2.81, 7 Rh 2.70-2.80
4 Zr 0.3233 0.2750 0.0483  2 Pt 2.68-2.81, 7 Rh 2.70-2.80
5 Zr 0.6767 0.7250 0.9517  2 Pt 2.68-2.81, 7 Rh 2.70-2.80
6 Zr 0.7250 0.2733 0.0483  2 Pt 2.68-2.81, 7 Rh 2.70-2.80
7 Zr 0.7250 0.6767 0.4517  2 Pt 2.68-2.81, 7 Rh 2.70-2.80
8 Zr 0.7267 0.2750 0.4517  2 Pt 2.68-2.81, 7 Rh 2.70-2.80
9 Pt 0.0942 0.3442 0.7500  4 Zr 2.68-2.81, 2 Rh 2.86
10 Pt 0.3442 0.0942 0.2500  4 Zr 2.68-2.81, 2 Rh 2.86
11 Pt 0.6558 0.9058 0.7500  4 Zr 2.68-2.81, 2 Rh 2.86
12 Pt 0.9058 0.6558 0.2500  4 Zr 2.68-2.81, 2 Rh 2.86
13 Rh 0.0000 0.5000 0.5000  6 Zr 2.75-2.80, 2 Pt 2.86, 4 Rh 2.88
14 Rh 0.0911 0.3411 0.1823  4 Zr 2.70-2.80, 2 Rh 2.88
15 Rh 0.0911 0.9089 0.7500  4 Zr 2.70-2.80, 2 Rh 2.88
16 Rh 0.3411 0.0911 0.6823  4 Zr 2.70-2.80, 2 Rh 2.88
17 Rh 0.3411 0.6589 0.2500  4 Zr 2.70-2.80, 2 Rh 2.88
18 Rh 0.5000 0.0000 0.0000  6 Zr 2.75-2.80, 2 Pt 2.86, 4 Rh 2.88
19 Rh 0.5000 0.5000 0.0000  6 Zr 2.75-2.80, 2 Pt 2.86, 4 Rh 2.88
20 Rh 0.5000 0.5000 0.5000  6 Zr 2.75-2.80, 2 Pt 2.86, 4 Rh 2.88
21 Rh 0.6589 0.3411 0.7500  4 Zr 2.70-2.80, 2 Rh 2.88
22 Rh 0.6589 0.9089 0.3177  4 Zr 2.70-2.80, 2 Rh 2.88
23 Rh 0.9089 0.0911 0.2500  4 Zr 2.70-2.80, 2 Rh 2.88
24 Rh 0.9089 0.6589 0.8177  4 Zr 2.70-2.80, 2 Rh 2.88

Calculated values
Energy ... -8.004 eV per atom

9.
VASP calculation (PBE-GGA) on a relaxed structure of BaZn2CrBi.

a = 5.7358 Å, b = 5.7358 Å, c = 5.9225 Å
α = 90.00°, β = 90.00°, γ = 90.00°
Last column: nearest neighbours and their distance in Å.
Positions (direct):
1 Ba 0.0000 0.0000 0.0000  4 Zn 2.87, 2 Cr 2.96
2 Zn 0.0000 0.5000 0.0000  2 Ba 2.87
3 Zn 0.5000 0.0000 0.0000  2 Ba 2.87
4 Cr 0.0000 0.0000 0.5000  2 Ba 2.96
5 Bi 0.5000 0.5000 0.5000  4 Cr 4.06, 8 Zn 4.12

Calculated values
Energy ... -2.323 eV per atom

10.
VASP calculation (PBE-GGA) on a relaxed structure of CeTaN4.

a = 6.6971 Å, b = 6.6971 Å, c = 6.6971 Å
α = 133.37°, β = 133.37°, γ = 68.07°
Last column: nearest neighbours and their distance in Å.
Positions (direct):
1 Ce 0.3750 0.1250 0.2500  8 N 2.41-2.42
2 Ce 0.6250 0.8750 0.7500  8 N 2.41-2.42
3 Ta 0.1250 0.3750 0.7500  4 N 1.99
4 Ta 0.8750 0.6250 0.2500  4 N 1.99
5 N 0.0258 0.2455 0.3158  1 Ta 1.99
6 N 0.2100 0.5258 0.2803  1 Ta 1.99
7 N 0.2545 0.0703 0.7803  1 Ta 1.99
8 N 0.4297 0.7100 0.1842  1 Ta 1.99
9 N 0.5703 0.2900 0.8158  1 Ta 1.99
10 N 0.7455 0.9297 0.2197  1 Ta 1.99
11 N 0.7900 0.4742 0.7197  1 Ta 1.99
12 N 0.9742 0.7545 0.6842  1 Ta 1.99

Calculated values
ΔE_f (raw) ... -0.317 eV/atom

11.
VASP calculation (PBE-GGA) on a relaxed structure of Dy12Ag3O5.

a = 13.3343 Å, b = 13.3343 Å, c = 13.3343 Å
α = 109.47°, β = 109.47°, γ = 109.47°
Last column: nearest neighbours and their distance in Å.
Positions (direct):
1 Dy 0.0130 0.2005 0.1095  1 O 2.20
2 Dy 0.0130 0.3126 0.9035  1 O 2.20
3 Dy 0.0909 0.7005 0.6874  1 O 2.20
4 Dy 0.0909 0.8905 0.4035  1 O 2.20
5 Dy 0.0965 0.6095 0.4091  1 O 2.20
6 Dy 0.0965 0.9870 0.6874  1 O 2.20
7 Dy 0.1095 0.0130 0.2005  1 O 2.20
8 Dy 0.1095 0.5965 0.9091  1 O 2.20
9 Dy 0.1874 0.2005 0.5909  1 O 2.20
10 Dy 0.1874 0.4870 0.5965  1 O 2.20
11 Dy 0.2005 0.1095 0.0130  1 O 2.20
12 Dy 0.2005 0.5909 0.1874  1 O 2.20
13 Dy 0.2995 0.3126 0.9091  1 O 2.20
14 Dy 0.2995 0.4870 0.3905  1 O 2.20
15 Dy 0.3126 0.9035 0.0130  1 O 2.20
16 Dy 0.3126 0.9091 0.2995  1 O 2.20
17 Dy 0.3905 0.2995 0.4870  1 O 2.20
18 Dy 0.3905 0.5909 0.9035  1 O 2.20
19 Dy 0.4035 0.0909 0.8905  1 O 2.20
20 Dy 0.4035 0.8126 0.5130  1 O 2.20
21 Dy 0.4091 0.0965 0.6095  1 O 2.20
22 Dy 0.4091 0.8126 0.7995  1 O 2.20
23 Dy 0.4870 0.3905 0.2995  1 O 2.20
24 Dy 0.4870 0.5965 0.1874  1 O 2.20
25 Dy 0.5130 0.4035 0.8126  1 O 2.20
26 Dy 0.5130 0.6095 0.7005  1 O 2.20
27 Dy 0.5909 0.1874 0.2005  1 O 2.20
28 Dy 0.5909 0.9035 0.3905  1 O 2.20
29 Dy 0.5965 0.1874 0.4870  1 O 2.20
30 Dy 0.5965 0.9091 0.1095  1 O 2.20
31 Dy 0.6095 0.4091 0.0965  1 O 2.20
32 Dy 0.6095 0.7005 0.5130  1 O 2.20
33 Dy 0.6874 0.0909 0.7005  1 O 2.20
34 Dy 0.6874 0.0965 0.9870  1 O 2.20
35 Dy 0.7005 0.5130 0.6095  1 O 2.20
36 Dy 0.7005 0.6874 0.0909  1 O 2.20
37 Dy 0.7995 0.4091 0.8126  1 O 2.20
38 Dy 0.7995 0.8905 0.9870  1 O 2.20
39 Dy 0.8126 0.5130 0.4035  1 O 2.20
40 Dy 0.8126 0.7995 0.4091  1 O 2.20
41 Dy 0.8905 0.4035 0.0909  1 O 2.20
42 Dy 0.8905 0.9870 0.7995  1 O 2.20
43 Dy 0.9035 0.0130 0.3126  1 O 2.20
44 Dy 0.9035 0.3905 0.5909  1 O 2.20
45 Dy 0.9091 0.1095 0.5965  1 O 2.20
46 Dy 0.9091 0.2995 0.3126  1 O 2.20
47 Dy 0.9870 0.6874 0.0965  1 O 2.20
48 Dy 0.9870 0.7995 0.8905  1 O 2.20
49 Ag 0.1250 0.2500 0.3750  8 Dy 3.08-3.13
50 Ag 0.1250 0.3750 0.7500  8 Dy 3.08-3.13
51 Ag 0.2500 0.3750 0.1250  8 Dy 3.08-3.13
52 Ag 0.2500 0.8750 0.6250  8 Dy 3.08-3.13
53 Ag 0.3750 0.1250 0.2500  8 Dy 3.08-3.13
54 Ag 0.3750 0.7500 0.1250  8 Dy 3.08-3.13
55 Ag 0.6250 0.2500 0.8750  8 Dy 3.08-3.13
56 Ag 0.6250 0.8750 0.7500  8 Dy 3.08-3.13
57 Ag 0.7500 0.1250 0.3750  8 Dy 3.08-3.13
58 Ag 0.7500 0.6250 0.8750  8 Dy 3.08-3.13
59 Ag 0.8750 0.6250 0.2500  8 Dy 3.08-3.13
60 Ag 0.8750 0.7500 0.6250  8 Dy 3.08-3.13
61 O 0.0000 0.0000 0.0000  6 Dy 2.50
62 O 0.0000 0.0000 0.5000  6 Dy 2.50
63 O 0.0000 0.5000 0.0000  6 Dy 2.50
64 O 0.0000 0.5000 0.5000  6 Dy 2.50
65 O 0.1250 0.7500 0.8750  4 Dy 2.20
66 O 0.1250 0.8750 0.2500  4 Dy 2.20
67 O 0.2500 0.1250 0.8750  4 Dy 2.20
68 O 0.2500 0.6250 0.3750  4 Dy 2.20
69 O 0.3750 0.2500 0.6250  4 Dy 2.20
70 O 0.3750 0.6250 0.7500  4 Dy 2.20
71 O 0.5000 0.0000 0.0000  6 Dy 2.50
72 O 0.5000 0.0000 0.5000  6 Dy 2.50
73 O 0.5000 0.5000 0.0000  6 Dy 2.50
74 O 0.5000 0.5000 0.5000  6 Dy 2.50
75 O 0.6250 0.3750 0.2500  4 Dy 2.20
76 O 0.6250 0.7500 0.3750  4 Dy 2.20
77 O 0.7500 0.3750 0.6250  4 Dy 2.20
78 O 0.7500 0.8750 0.1250  4 Dy 2.20
79 O 0.8750 0.1250 0.7500  4 Dy 2.20
80 O 0.8750 0.2500 0.1250  4 Dy 2.20

Calculated values
ΔE_f (raw) ... -1.476 eV/atom

12.
VASP calculation (PBE-GGA) on a relaxed structure of AlSb2WI.

a = 5.1970 Å, b = 5.1970 Å, c = 5.9879 Å
α = 90.00°, β = 90.00°, γ = 90.00°
Last column: nearest neighbours and their distance in Å.
Positions (direct):
1 Al 0.0000 0.0000 0.0000  4 I 3.67, 8 Sb 3.96
2 Sb 0.0000 0.5000 0.5000  2 W 2.60
3 Sb 0.5000 0.0000 0.5000  2 W 2.60
4 W 0.5000 0.5000 0.5000  4 Sb 2.60
5 I 0.5000 0.5000 0.0000  2 W 2.99

Calculated values
ΔE_f (raw) ... 0.765 eV/atom
Offset from the most stable computed form ... 0.0 meV/atom